Entry 1:
The following is a PBE calculation of an optimized crystal structure of Ga3BIr, from Alexandria.

a = 4.7755 Å, b = 4.7755 Å, c = 4.7755 Å
α = 90.00°, β = 90.00°, γ = 90.00°
With the nearest neighbours (Å) after each atom.
Fractional positions:
Ga 0.0000 0.0000 0.5000  2 Ir 2.39
Ga 0.0000 0.5000 0.0000  2 Ir 2.39
Ga 0.5000 0.0000 0.0000  2 Ir 2.39
B 0.5000 0.5000 0.5000  12 Ga 3.38
Ir 0.0000 0.0000 0.0000  6 Ga 2.39

Computed properties:
Total energy ... -21.00 eV/cell
Energy above the lowest structure with this stoichiometry ... 3.62 kcal/mol of atoms
ΔH_f (0 K) ... 0.723 eV/atom
Space-group type ... Pm-3m, No. 221

***

Entry 2:
The following is a PBE calculation of an optimized crystal structure of Ca2LaFe, from Alexandria.

a = 4.3460 Å, b = 4.3460 Å, c = 8.1536 Å
α = 105.31°, β = 105.31°, γ = 59.19°
With the nearest neighbours (Å) after each atom.
Fractional positions:
Ca 0.0000 0.0000 0.0000  3 Fe 3.38-3.42, 3 La 3.41-3.42
Ca 0.1968 0.1968 0.6026  3 La 3.42-3.44, 3 Fe 3.44-3.48
La 0.7688 0.7688 0.2997  3 Fe 2.48-2.54
Fe 0.4319 0.4319 0.2959  3 La 2.48-2.54

Computed properties:
Total energy ... -16.13 eV/cell
Energy above the lowest structure with this stoichiometry ... 2.18 kcal/mol of atoms
ΔH_f (0 K) ... 0.315 eV/atom
Space-group type ... Cm, No. 8

***

Entry 3:
The following is a PBE calculation of an optimized crystal structure of Rb3MoC, from Alexandria.

a = 6.1587 Å, b = 6.1587 Å, c = 6.1587 Å
α = 90.00°, β = 90.00°, γ = 90.00°
With the nearest neighbours (Å) after each atom.
Fractional positions:
Rb 0.0000 0.0000 0.5000  2 C 3.08
Rb 0.0000 0.5000 0.0000  2 C 3.08
Rb 0.5000 0.0000 0.0000  2 C 3.08
Mo 0.5000 0.5000 0.5000  12 Rb 4.35
C 0.0000 0.0000 0.0000  6 Rb 3.08

Computed properties:
Total energy ... -13.84 eV/cell
Energy above the lowest structure with this stoichiometry ... 0.00 kcal/mol of atoms
ΔH_f (0 K) ... 1.824 eV/atom
Space-group type ... Pm-3m, No. 221

***

Entry 4:
The following is a PBE calculation of an optimized crystal structure of LiNb2CuRh, from Alexandria.

a = 4.3415 Å, b = 4.3415 Å, c = 4.1045 Å
α = 90.00°, β = 90.00°, γ = 90.00°
With the nearest neighbours (Å) after each atom.
Fractional positions:
Li 0.0000 0.0000 0.0000  2 Rh 2.05, 4 Nb 2.17
Nb 0.0000 0.5000 0.0000  2 Li 2.17
Nb 0.5000 0.0000 0.0000  2 Li 2.17
Cu 0.5000 0.5000 0.5000  8 Nb 2.99, 4 Rh 3.07
Rh 0.0000 0.0000 0.5000  2 Li 2.05

Computed properties:
Total energy ... -29.18 eV/cell
ΔH_f (0 K) ... 0.863 eV/atom
Space-group type ... P4/mmm, No. 123